[1]
First-principles (PBE) data for crystalline SmCu4Ge at its relaxed geometry, as listed in Alexandria.

CIF file:
```
data_SmCu4Ge
_cell_length_a 7.231
_cell_length_b 7.231
_cell_length_c 7.231
_cell_angle_alpha 90.00
_cell_angle_beta 90.00
_cell_angle_gamma 90.00
_space_group_name_H-M_alt 'F -4 3 m'
_space_group_IT_number 216
_space_group_name_Hall 'F -4 2 3'
loop_
_atom_site_label
_atom_site_type_symbol
_atom_site_fract_x
_atom_site_fract_y
_atom_site_fract_z
Sm1 Sm 0.000 0.000 0.000
Cu1 Cu 0.125 0.125 0.375
Ge1 Ge 0.250 0.250 0.750
```

Results
The energy of formation from the pure elements is -0.150 eV per atom. The calculation puts the total energy at -4.4365 eV per atom. The total moment is 0.00 μB/f.u.

***

[2]
First-principles (PBE) data for crystalline Zn2CrGaAu at its relaxed geometry, as listed in Alexandria.

CIF file:
```
data_Zn2CrGaAu
_cell_length_a 4.892
_cell_length_b 4.892
_cell_length_c 4.836
_cell_angle_alpha 90.00
_cell_angle_beta 90.00
_cell_angle_gamma 90.00
_space_group_name_H-M_alt 'P 4/m m m'
_space_group_IT_number 123
_space_group_name_Hall '-P 4 2'
loop_
_atom_site_label
_atom_site_type_symbol
_atom_site_fract_x
_atom_site_fract_y
_atom_site_fract_z
Zn1 Zn 0.000 0.500 0.000
Cr1 Cr 0.000 0.000 0.500
Ga1 Ga 0.500 0.500 0.500
Au1 Au 0.500 0.500 0.000
```

Results
The energy of formation from the pure elements is 0.560 eV per atom. The calculation puts the total energy at -3.1356 eV per atom. The total moment is 5.00 μB/f.u.

***

[3]
First-principles (PBE) data for crystalline NaLiAu at its relaxed geometry, as listed in Alexandria.

CIF file:
```
data_NaLiAu
_cell_length_a 10.914
_cell_length_b 3.013
_cell_length_c 7.866
_cell_angle_alpha 90.00
_cell_angle_beta 110.49
_cell_angle_gamma 90.00
_space_group_name_H-M_alt 'C 1 2/m 1'
_space_group_IT_number 12
_space_group_name_Hall '-C 2y'
loop_
_atom_site_label
_atom_site_type_symbol
_atom_site_fract_x
_atom_site_fract_y
_atom_site_fract_z
Na1 Na 0.155 0.000 0.118
Li1 Li 0.126 0.000 0.518
Au1 Au 0.044 0.500 0.744
```

Results
The energy of formation from the pure elements is -0.327 eV per atom. The calculation puts the total energy at -2.4968 eV per atom. The total moment is 0.00 μB/f.u. The calculation puts the energy above the most stable polymorph in this dataset at 38 meV per atom.

***

[4]
First-principles (PBE) data for crystalline K4Er3AlO8 at its relaxed geometry, as listed in Alexandria.

CIF file:
```
data_K4Er3AlO8
_cell_length_a 6.6787
_cell_length_b 6.6787
_cell_length_c 18.6420
_cell_angle_alpha 90.00
_cell_angle_beta 90.00
_cell_angle_gamma 120.00
_space_group_name_H-M_alt 'R -3 m'
_space_group_IT_number 166
_space_group_name_Hall '-R 3 2"'
loop_
_atom_site_label
_atom_site_type_symbol
_atom_site_fract_x
_atom_site_fract_y
_atom_site_fract_z
K1 K 0.0000 0.0000 0.0000
K2 K 0.0000 0.5000 0.0000
Er1 Er 0.0000 0.5000 0.5000
Al1 Al 0.0000 0.0000 0.5000
O1 O 0.0000 0.0000 0.2286
O2 O 0.0255 0.5127 0.2256
```

Results
The calculation puts the total energy at -6.4459 eV per atom. The total moment is 0.00 μB/f.u. Its formation energy (no corrections) is -2.60 eV/atom.

***

[5]
First-principles (PBE) data for crystalline CoAsP2 at its relaxed geometry, as listed in Alexandria.

CIF file:
```
data_CoAsP2
_cell_length_a 4.885
_cell_length_b 4.885
_cell_length_c 4.874
_cell_angle_alpha 90.00
_cell_angle_beta 90.00
_cell_angle_gamma 90.00
_space_group_name_H-M_alt 'I 4/m m m'
_space_group_IT_number 139
_space_group_name_Hall '-I 4 2'
loop_
_atom_site_label
_atom_site_type_symbol
_atom_site_fract_x
_atom_site_fract_y
_atom_site_fract_z
Co1 Co 0.000 0.000 0.000
As1 As 0.000 0.000 0.500
P1 P 0.000 0.500 0.000
```

Results
The energy of formation from the pure elements is 0.152 eV per atom. The calculation puts the total energy at -5.4919 eV per atom. The total moment is 0.00 μB/f.u.

***

[6]
First-principles (PBE) data for crystalline Np2CuAs3Rh4 at its relaxed geometry, as listed in Alexandria.

CIF file:
```
data_Np2CuAs3Rh4
_cell_length_a 4.019
_cell_length_b 4.019
_cell_length_c 10.912
_cell_angle_alpha 90.00
_cell_angle_beta 90.00
_cell_angle_gamma 90.00
_space_group_name_H-M_alt 'P -4 m 2'
_space_group_IT_number 115
_space_group_name_Hall 'P -4 -2'
loop_
_atom_site_label
_atom_site_type_symbol
_atom_site_fract_x
_atom_site_fract_y
_atom_site_fract_z
Np1 Np 0.000 0.500 0.240
Cu1 Cu 0.500 0.500 0.000
As1 As 0.000 0.000 0.000
As2 As 0.000 0.500 0.633
Rh1 Rh 0.000 0.000 0.500
Rh2 Rh 0.000 0.500 0.852
Rh3 Rh 0.500 0.500 0.500
```

Results
The energy of formation from the pure elements is -0.495 eV per atom. The calculation puts the total energy at -7.8283 eV per atom. The total moment is 7.33 μB/f.u.

***

[7]
First-principles (PBE) data for crystalline Ni3Mo at its relaxed geometry, as listed in Alexandria.

CIF file:
```
data_Ni3Mo
_cell_length_a 2.587
_cell_length_b 2.587
_cell_length_c 7.243
_cell_angle_alpha 90.00
_cell_angle_beta 90.00
_cell_angle_gamma 90.00
_space_group_name_H-M_alt 'P 4/m m m'
_space_group_IT_number 123
_space_group_name_Hall '-P 4 2'
loop_
_atom_site_label
_atom_site_type_symbol
_atom_site_fract_x
_atom_site_fract_y
_atom_site_fract_z
Ni1 Ni 0.000 0.000 0.000
Ni2 Ni 0.500 0.500 0.236
Mo1 Mo 0.000 0.000 0.500
```

Results
The energy of formation from the pure elements is 0.023 eV per atom. The calculation puts the total energy at -7.0208 eV per atom. The total moment is 0.37 μB/f.u.

***

[8]
First-principles (PBE) data for crystalline TmTlCd2 at its relaxed geometry, as listed in Alexandria.

CIF file:
```
data_TmTlCd2
_cell_length_a 7.356
_cell_length_b 7.356
_cell_length_c 7.356
_cell_angle_alpha 90.00
_cell_angle_beta 90.00
_cell_angle_gamma 90.00
_space_group_name_H-M_alt 'F m -3 m'
_space_group_IT_number 225
_space_group_name_Hall '-F 4 2 3'
loop_
_atom_site_label
_atom_site_type_symbol
_atom_site_fract_x
_atom_site_fract_y
_atom_site_fract_z
Tm1 Tm 0.000 0.000 0.000
Tl1 Tl 0.000 0.000 0.500
Cd1 Cd 0.250 0.250 0.250
```

Results
The energy of formation from the pure elements is -0.086 eV per atom. The calculation puts the total energy at -2.2528 eV per atom. The total moment is 0.00 μB/f.u. The calculation puts the energy above the most stable polymorph in this dataset at 130 meV per atom.